# 1
The following is a PBE calculation of a geometry-optimized BaYRe2 structure, from Alexandria.

Unit cell a=4.9632 b=4.9632 c=4.9632 alpha=60.00 beta=60.00 gamma=60.00
Fractional positions:
Y  0.7500  0.7500  0.7500
Re  0.0000  0.0000  0.0000
Re  0.2500  0.2500  0.2500
Ba  0.5000  0.5000  0.5000

Summary:
Energy relative to the elements ... 1.135 eV per atom
Space-group type ... F-43m (216)



# 2
The following is a PBE calculation of a geometry-optimized TcNi2Os structure, from Alexandria.

Unit cell a=3.6734 b=3.6727 c=3.7630 alpha=90.00 beta=90.00 gamma=90.00
Fractional positions:
Os  0.5000  0.0000  0.5000
Ni  0.0000  0.0000  0.0000
Ni  0.5000  0.5000  0.0000
Tc  0.0000  0.5000  0.5000

Summary:
Energy relative to the elements ... 0.114 eV per atom
Space-group type ... P4/mmm (123)



# 3
The following is a PBE calculation of a geometry-optimized CoReW2 structure, from Alexandria.

Unit cell a=2.6853 b=2.6853 c=8.2978 alpha=90.00 beta=90.00 gamma=103.99
Fractional positions:
W  0.5000  0.5000  0.2710
W  0.0000  0.0000  0.9963
Re  0.5000  0.5000  0.7274
Co  0.0000  0.0000  0.5053

Summary:
Energy relative to the elements ... 0.124 eV per atom
Space-group type ... Cmm2 (35)



Taking the records one at a time from the top gives D(E_F) values of 7.1, 5.2, 3.2 states/eV per cell.